DFT (PBE) results for an optimized crystal structure of AcCuS2.

Calculated values
Fermi-level density of states   0.372 states/eV per atom
Symmetry   P4/mmm (123)
Volume   22.0 Å³ per atom
Energy relative to the elements, uncorrected   -69.33 kJ/mol of atoms
Energy above the most stable polymorph in this dataset   0.7382 eV/atom
E   -0.3553 Ry/atom

Structure (extended XYZ):
```
4
Lattice="3.594 0.000 0.000 0.000 3.594 0.000 0.000 0.000 6.801" Properties=species:S:1:pos:R:3 pbc="T T T"
Ac 0.000 0.000 0.000
Cu 0.000 0.000 3.400
S 1.797 1.797 1.756
S 1.797 1.797 5.044
```